(1)
Entry from Alexandria: a relaxed ZrVCu3 crystal (PBE-GGA).

Values from the calculation:
- Calculated formation energy: 845 meV per atom
- Raw total energy: -5.146 eV per atom
- Symmetry: Pm-3m

abc: 4.444 4.444 4.444
angles: 90.00 90.00 90.00
Positions (direct):
Zr 0.000 0.000 0.000
V 0.500 0.500 0.500
Cu 0.000 0.500 0.500
Cu 0.500 0.000 0.500
Cu 0.500 0.500 0.000

=====

(2)
Entry from Alexandria: a relaxed ZrVCu2 crystal (PBE-GGA).

Values from the calculation:
- Calculated formation energy: 378 meV per atom
- Raw total energy: -6.087 eV per atom
- Symmetry: I-42d

abc: 5.631 5.631 5.631
angles: 101.46 101.46 127.07
Positions (direct):
Zr 0.000 0.000 0.000
Zr 0.750 0.250 0.500
V 0.250 0.750 0.500
V 0.500 0.500 0.000
Cu 0.156 0.625 0.031
Cu 0.375 0.406 0.531
Cu 0.594 0.125 0.969
Cu 0.875 0.844 0.469

=====

(3)
Entry from Alexandria: a relaxed Zr3VCu crystal (PBE-GGA).

Values from the calculation:
- Calculated formation energy: 786 meV per atom
- Raw total energy: -6.986 eV per atom
- Symmetry: Pm-3m

abc: 4.900 4.900 4.900
angles: 90.00 90.00 90.00
Positions (direct):
Zr 0.000 0.000 0.500
Zr 0.000 0.500 0.000
Zr 0.500 0.000 0.000
V 0.500 0.500 0.500
Cu 0.000 0.000 0.000

=====

(4)
Entry from Alexandria: a relaxed Zr2VCu crystal (PBE-GGA).

Values from the calculation:
- Calculated formation energy: 12 meV per atom
- Raw total energy: -7.566 eV per atom
- Symmetry: P4/mmm

abc: 3.271 3.271 6.759
angles: 90.00 90.00 90.00
Positions (direct):
Zr 0.000 0.000 0.247
Zr 0.000 0.000 0.753
V 0.500 0.500 0.000
Cu 0.500 0.500 0.500

=====

(5)
Entry from Alexandria: a relaxed ZrV3Cu crystal (PBE-GGA).

Values from the calculation:
- Calculated formation energy: 1001 meV per atom
- Raw total energy: -6.999 eV per atom
- Symmetry: Pm-3m

abc: 4.473 4.473 4.473
angles: 90.00 90.00 90.00
Positions (direct):
Zr 0.000 0.000 0.000
V 0.000 0.500 0.500
V 0.500 0.000 0.500
V 0.500 0.500 0.000
Cu 0.500 0.500 0.500

=====

(6)
Entry from Alexandria: a relaxed Zr3VCu crystal (PBE-GGA).

Values from the calculation:
- Calculated formation energy: 794 meV per atom
- Raw total energy: -6.978 eV per atom
- Symmetry: Pm-3m

abc: 4.845 4.845 4.845
angles: 90.00 90.00 90.00
Positions (direct):
Zr 0.000 0.000 0.500
Zr 0.000 0.500 0.000
Zr 0.500 0.000 0.000
V 0.000 0.000 0.000
Cu 0.500 0.500 0.500

=====

(7)
Entry from Alexandria: a relaxed Zr2VCu crystal (PBE-GGA).

Values from the calculation:
- Calculated formation energy: 658 meV per atom
- Raw total energy: -6.920 eV per atom
- Symmetry: I-42d

abc: 9.994 9.994 9.994
angles: 156.75 156.75 33.12
Positions (direct):
Zr 0.124 0.625 0.999
Zr 0.375 0.374 0.499
Zr 0.626 0.125 0.001
Zr 0.875 0.876 0.501
V 0.250 0.750 0.500
V 0.500 0.500 0.000
Cu 0.000 0.000 0.000
Cu 0.750 0.250 0.500

=====

(8)
Entry from Alexandria: a relaxed ZrVCu crystal (PBE-GGA).

Values from the calculation:
- Calculated formation energy: 440 meV per atom
- Raw total energy: -6.814 eV per atom
- Symmetry: Fddd

abc: 10.387 9.497 5.332
angles: 83.92 65.38 30.69
Positions (direct):
Zr 0.022 0.728 0.022
Zr 0.272 0.978 0.272
Zr 0.728 0.022 0.728
Zr 0.978 0.272 0.978
V 0.004 0.004 0.746
V 0.254 0.254 0.996
V 0.746 0.746 0.004
V 0.996 0.996 0.254
Cu 0.303 0.303 0.447
Cu 0.447 0.447 0.303
Cu 0.553 0.553 0.697
Cu 0.697 0.697 0.553